Here is a relaxed AcNd4Hg5 crystal from Alexandria via LeMat-Bulk. Energies are from GGA-PBE.

Values from the calculation:
As for the space group: No. 123.

a b c (Å): 3.882 3.882 19.379
angles (deg): 90.00 90.00 90.00
Each line ends with the local moment (μB).
Atoms (fractional coordinates):
Ac 0.000 0.000 0.000  0.10
Nd 0.000 0.000 0.208  0.19
Nd 0.000 0.000 0.403  0.22
Nd 0.000 0.000 0.597  0.22
Nd 0.000 0.000 0.792  0.19
Hg 0.500 0.500 0.112  0.01
Hg 0.500 0.500 0.305  0.02
Hg 0.500 0.500 0.500  0.02
Hg 0.500 0.500 0.695  0.02
Hg 0.500 0.500 0.888  0.01

Here is a relaxed AcNd2Hg8 crystal from Alexandria via LeMat-Bulk. Energies are from GGA-PBE.

Values from the calculation:
As for the space group: No. 71.

a b c (Å): 5.356 7.343 9.000
angles (deg): 114.08 107.31 90.00
Atoms (fractional coordinates):
Ac 0.500 0.000 0.000
Nd 0.186 0.686 0.371
Nd 0.814 0.314 0.629
Hg 0.658 0.873 0.316
Hg 0.342 0.557 0.684
Hg 0.157 0.157 0.315
Hg 0.000 0.293 0.000
Hg 0.843 0.843 0.685
Hg 0.658 0.443 0.316
Hg 0.342 0.127 0.684
Hg 0.000 0.707 0.000

Here is a relaxed AcNdHg crystal from Alexandria via LeMat-Bulk. Energies are from GGA-PBE.

Values from the calculation:
As for the space group: No. 216. The value obtained for the energy above the most stable polymorph in this dataset is 209 meV/atom.

a b c (Å): 5.426 5.426 5.426
angles (deg): 60.00 60.00 60.00
Each line ends with the local moment (μB).
Atoms (fractional coordinates):
Ac 0.500 0.500 0.500  0.04
Nd 0.000 0.000 0.000  0.07
Hg 0.250 0.250 0.250  0.00

Here is a relaxed Ac5Nd4Hg crystal from Alexandria via LeMat-Bulk. Energies are from GGA-PBE.

Values from the calculation:
As for the space group: No. 123.

a b c (Å): 3.927 3.927 25.173
angles (deg): 90.00 90.00 90.00
Atoms (fractional coordinates):
Ac 0.500 0.500 0.083
Ac 0.500 0.500 0.292
Ac 0.500 0.500 0.500
Ac 0.500 0.500 0.708
Ac 0.500 0.500 0.917
Nd 0.000 0.000 0.190
Nd 0.000 0.000 0.396
Nd 0.000 0.000 0.604
Nd 0.000 0.000 0.810
Hg 0.000 0.000 0.000

Here is a relaxed AcNd2Hg3 crystal from Alexandria via LeMat-Bulk. Energies are from GGA-PBE.

Values from the calculation:
As for the space group: No. 123. The value obtained for the energy above the most stable polymorph in this dataset is 0 meV/atom.

a b c (Å): 3.902 3.902 11.761
angles (deg): 90.00 90.00 90.00
Each line ends with the local moment (μB).
Atoms (fractional coordinates):
Ac 0.500 0.500 0.500  0.12
Nd 0.500 0.500 0.840  0.20
Nd 0.500 0.500 0.160  0.20
Hg 0.000 0.000 0.000  0.01
Hg 0.000 0.000 0.684  0.02
Hg 0.000 0.000 0.316  0.02

Here is a relaxed Ac2NdHg4 crystal from Alexandria via LeMat-Bulk. Energies are from GGA-PBE.

Values from the calculation:
As for the space group: No. 166.

a b c (Å): 5.409 5.409 9.908
angles (deg): 74.16 74.16 60.00
Atoms (fractional coordinates):
Ac 0.756 0.756 0.732
Ac 0.244 0.244 0.268
Nd 0.000 0.000 0.000
Hg 0.874 0.874 0.378
Hg 0.126 0.126 0.622
Hg 0.631 0.631 0.106
Hg 0.369 0.369 0.894

Number 1: formation energy from the elements -0.468 eV per atom. Number 2: formation energy from the elements -0.351 eV per atom. Number 3: formation energy from the elements -0.096 eV per atom. Number 4: formation energy from the elements -0.072 eV per atom. Number 5: formation energy from the elements -0.465 eV per atom. Number 6: formation energy from the elements -0.354 eV per atom.